1.
# DyTmNi2 (PBE, relaxed)
data_DyTmNi2
_cell_length_a 4.149
_cell_length_b 6.988
_cell_length_c 5.389
_cell_angle_alpha 90.00
_cell_angle_beta 90.00
_cell_angle_gamma 90.00
_symmetry_space_group_name_H-M 'P m n 21'
_symmetry_Int_Tables_number 31
loop_
_symmetry_equiv_pos_as_xyz
'x,y,z'
'-x+1/2,-y,z+1/2'
'-x,y,z'
'x+1/2,-y,z+1/2'
loop_
_atom_site_label
_atom_site_fract_x
_atom_site_fract_y
_atom_site_fract_z
Dy1 0.000 0.072 0.000
Tm1 0.000 0.569 0.236
Ni1 0.000 0.216 0.496
Ni2 0.000 0.709 0.742
# Spin magnetization: 0.00 μB/atom
# ρ: 9.5 Mg/m³
# Formation energy: -484 meV per atom
# V: 78.12 Å³/f.u.
# Calculated total energy: -22.15 eV/f.u.

***

2.
# Dy2Tm2Ni (PBE, relaxed)
data_Dy2Tm2Ni
_cell_length_a 5.2822
_cell_length_b 5.2822
_cell_length_c 10.6972
_cell_angle_alpha 90.00
_cell_angle_beta 90.00
_cell_angle_gamma 120.00
_symmetry_space_group_name_H-M 'P 63/m m c'
_symmetry_Int_Tables_number 194
_symmetry_space_group_name_Hall '-P 6c 2c'
loop_
_atom_site_label
_atom_site_fract_x
_atom_site_fract_y
_atom_site_fract_z
Dy1 0.3333 0.6667 0.0968
Tm1 0.0000 0.0000 0.0000
Tm2 0.3333 0.6667 0.7500
Ni1 0.0000 0.0000 0.2500
# Spin magnetization: 0.00 μB/atom
# ρ: 9.3 Mg/m³
# Formation energy: 8 meV per atom
# V: 129.24 Å³/f.u.
# Calculated total energy: -23.68 eV/f.u.

***

3.
# DyTmNi2 (PBE, relaxed)
data_DyTmNi2
_cell_length_a 4.147
_cell_length_b 5.381
_cell_length_c 7.000
_cell_angle_alpha 90.00
_cell_angle_beta 90.00
_cell_angle_gamma 90.00
_symmetry_space_group_name_H-M 'P m c 21'
_symmetry_Int_Tables_number 26
loop_
_symmetry_equiv_pos_as_xyz
'x,y,z'
'-x,-y,z+1/2'
'-x,y,z'
'x,-y,z+1/2'
loop_
_atom_site_label
_atom_site_fract_x
_atom_site_fract_y
_atom_site_fract_z
Dy1 0.000 0.120 0.000
Tm1 0.500 0.380 0.641
Ni1 0.000 0.375 0.358
Ni2 0.500 0.126 0.282
# Spin magnetization: 0.00 μB/atom
# ρ: 9.5 Mg/m³
# Formation energy: -483 meV per atom
# V: 78.10 Å³/f.u.
# Calculated total energy: -22.14 eV/f.u.

***

4.
# DyTm2Ni9 (PBE, relaxed)
data_DyTm2Ni9
_cell_length_a 4.9261
_cell_length_b 4.9261
_cell_length_c 24.0948
_cell_angle_alpha 90.00
_cell_angle_beta 90.00
_cell_angle_gamma 120.00
_symmetry_space_group_name_H-M 'R -3 m'
_symmetry_Int_Tables_number 166
_symmetry_space_group_name_Hall '-R 3 2"'
loop_
_atom_site_label
_atom_site_fract_x
_atom_site_fract_y
_atom_site_fract_z
Dy1 0.0000 0.0000 0.0000
Tm1 0.0000 0.0000 0.1394
Ni1 0.0000 0.0000 0.3332
Ni2 0.0000 0.0000 0.5000
Ni3 0.0017 0.5009 0.9172
# Spin magnetization: 0.09 μB/atom
# ρ: 10.1 Mg/m³
# Formation energy: -443 meV per atom
# V: 168.78 Å³/f.u.
# Calculated total energy: -68.97 eV/f.u.

***

5.
# Dy3TmNi4 (PBE, relaxed)
data_Dy3TmNi4
_cell_length_a 5.396
_cell_length_b 4.165
_cell_length_c 6.986
_cell_angle_alpha 90.00
_cell_angle_beta 90.22
_cell_angle_gamma 90.00
_symmetry_space_group_name_H-M 'P 1 m 1'
_symmetry_Int_Tables_number 6
loop_
_symmetry_equiv_pos_as_xyz
'x,y,z'
'x,-y,z'
loop_
_atom_site_label
_atom_site_fract_x
_atom_site_fract_y
_atom_site_fract_z
Dy1 0.000 0.000 0.000
Dy2 0.235 0.000 0.497
Dy3 0.734 0.500 0.638
Tm1 0.500 0.500 0.138
Ni1 0.241 0.500 0.784
Ni2 0.494 0.000 0.860
Ni3 0.736 0.000 0.353
Ni4 0.993 0.500 0.280
# Spin magnetization: 0.00 μB/atom
# ρ: 9.4 Mg/m³
# Formation energy: -472 meV per atom
# V: 157.03 Å³/f.u.
# Calculated total energy: -44.32 eV/f.u.

***

6.
# DyTmNi2 (PBE, relaxed)
data_DyTmNi2
_cell_length_a 5.388
_cell_length_b 4.146
_cell_length_c 6.984
_cell_angle_alpha 90.00
_cell_angle_beta 90.37
_cell_angle_gamma 90.00
_symmetry_space_group_name_H-M 'P 1 21/m 1'
_symmetry_Int_Tables_number 11
loop_
_symmetry_equiv_pos_as_xyz
'x,y,z'
'-x,-y,-z'
'-x,y+1/2,-z'
'x,-y+1/2,z'
loop_
_atom_site_label
_atom_site_fract_x
_atom_site_fract_y
_atom_site_fract_z
Dy1 0.132 0.250 0.181
Tm1 0.369 0.250 0.679
Ni1 0.128 0.750 0.463
Ni2 0.375 0.750 0.962
# Spin magnetization: 0.00 μB/atom
# ρ: 9.6 Mg/m³
# Formation energy: -483 meV per atom
# V: 77.99 Å³/f.u.
# Calculated total energy: -22.14 eV/f.u.

***

7.
# DyNiW (PBE, relaxed)
data_DyNiW
_cell_length_a 6.180
_cell_length_b 6.180
_cell_length_c 6.180
_cell_angle_alpha 90.00
_cell_angle_beta 90.00
_cell_angle_gamma 90.00
_symmetry_space_group_name_H-M 'F -4 3 m'
_symmetry_Int_Tables_number 216
_symmetry_space_group_name_Hall 'F -4 2 3'
loop_
_atom_site_label
_atom_site_fract_x
_atom_site_fract_y
_atom_site_fract_z
Dy1 0.000 0.000 0.000
Ni1 0.250 0.250 0.250
W1 0.000 0.000 0.500
# Spin magnetization: 0.05 μB/atom
# ρ: 11.4 Mg/m³
# Formation energy: 646 meV per atom
# V: 59.01 Å³/f.u.
# Calculated total energy: -21.19 eV/f.u.

***

8.
# Dy3YNi4 (PBE, relaxed)
data_Dy3YNi4
_cell_length_a 5.409
_cell_length_b 4.171
_cell_length_c 7.036
_cell_angle_alpha 90.00
_cell_angle_beta 90.03
_cell_angle_gamma 90.00
_symmetry_space_group_name_H-M 'P 1 m 1'
_symmetry_Int_Tables_number 6
loop_
_symmetry_equiv_pos_as_xyz
'x,y,z'
'x,-y,z'
loop_
_atom_site_label
_atom_site_fract_x
_atom_site_fract_y
_atom_site_fract_z
Dy1 0.000 0.000 0.000
Dy2 0.240 0.000 0.500
Dy3 0.500 0.500 0.140
Y1 0.740 0.500 0.641
Ni1 0.245 0.500 0.782
Ni2 0.494 0.000 0.858
Ni3 0.745 0.000 0.358
Ni4 0.995 0.500 0.282
# Spin magnetization: 0.00 μB/atom
# ρ: 8.5 Mg/m³
# Formation energy: -455 meV per atom
# V: 158.74 Å³/f.u.
# Calculated total energy: -46.18 eV/f.u.

***

9.
# DyYNi2 (PBE, relaxed)
data_DyYNi2
_cell_length_a 4.173
_cell_length_b 7.042
_cell_length_c 5.413
_cell_angle_alpha 90.00
_cell_angle_beta 90.00
_cell_angle_gamma 90.00
_symmetry_space_group_name_H-M 'P m n 21'
_symmetry_Int_Tables_number 31
loop_
_symmetry_equiv_pos_as_xyz
'x,y,z'
'-x+1/2,-y,z+1/2'
'-x,y,z'
'x+1/2,-y,z+1/2'
loop_
_atom_site_label
_atom_site_fract_x
_atom_site_fract_y
_atom_site_fract_z
Dy1 0.000 0.070 0.000
Y1 0.000 0.570 0.240
Ni1 0.000 0.212 0.494
Ni2 0.000 0.712 0.745
# Spin magnetization: 0.00 μB/atom
# ρ: 7.7 Mg/m³
# Formation energy: -451 meV per atom
# V: 79.52 Å³/f.u.
# Calculated total energy: -24.01 eV/f.u.

***

10.
# DyY3Ni4 (PBE, relaxed)
data_DyY3Ni4
_cell_length_a 5.417
_cell_length_b 4.177
_cell_length_c 7.048
_cell_angle_alpha 90.00
_cell_angle_beta 90.01
_cell_angle_gamma 90.00
_symmetry_space_group_name_H-M 'P 1 m 1'
_symmetry_Int_Tables_number 6
loop_
_symmetry_equiv_pos_as_xyz
'x,y,z'
'x,-y,z'
loop_
_atom_site_label
_atom_site_fract_x
_atom_site_fract_y
_atom_site_fract_z
Dy1 0.000 0.000 0.000
Y1 0.260 0.500 0.641
Y2 0.500 0.500 0.141
Y3 0.760 0.000 0.500
Ni1 0.005 0.500 0.282
Ni2 0.255 0.000 0.358
Ni3 0.505 0.000 0.858
Ni4 0.755 0.500 0.782
# Spin magnetization: 0.00 μB/atom
# ρ: 6.9 Mg/m³
# Formation energy: -446 meV per atom
# V: 159.48 Å³/f.u.
# Calculated total energy: -49.84 eV/f.u.

***

11.
# DyYNi2 (PBE, relaxed)
data_DyYNi2
_cell_length_a 5.424
_cell_length_b 4.182
_cell_length_c 7.057
_cell_angle_alpha 90.00
_cell_angle_beta 90.02
_cell_angle_gamma 90.00
_symmetry_space_group_name_H-M 'P 1 21/m 1'
_symmetry_Int_Tables_number 11
loop_
_symmetry_equiv_pos_as_xyz
'x,y,z'
'-x,-y,-z'
'-x,y+1/2,-z'
'x,-y+1/2,z'
loop_
_atom_site_label
_atom_site_fract_x
_atom_site_fract_y
_atom_site_fract_z
Dy1 0.130 0.250 0.320
Y1 0.370 0.250 0.820
Ni1 0.125 0.750 0.038
Ni2 0.375 0.750 0.538
# Spin magnetization: 0.00 μB/atom
# ρ: 7.7 Mg/m³
# Formation energy: -452 meV per atom
# V: 80.03 Å³/f.u.
# Calculated total energy: -24.01 eV/f.u.

***

12.
# Dy2Y2Ni (PBE, relaxed)
data_Dy2Y2Ni
_cell_length_a 5.3458
_cell_length_b 5.3458
_cell_length_c 10.8341
_cell_angle_alpha 90.00
_cell_angle_beta 90.00
_cell_angle_gamma 120.00
_symmetry_space_group_name_H-M 'P 63/m m c'
_symmetry_Int_Tables_number 194
_symmetry_space_group_name_Hall '-P 6c 2c'
loop_
_atom_site_label
_atom_site_fract_x
_atom_site_fract_y
_atom_site_fract_z
Dy1 0.0000 0.0000 0.0000
Dy2 0.3333 0.6667 0.2500
Y1 0.3333 0.6667 0.5966
Ni1 0.0000 0.0000 0.2500
# Spin magnetization: 0.00 μB/atom
# ρ: 7.0 Mg/m³
# Formation energy: 27 meV per atom
# V: 134.07 Å³/f.u.
# Calculated total energy: -27.57 eV/f.u.

***

13.
# DyYNi2 (PBE, relaxed)
data_DyYNi2
_cell_length_a 4.165
_cell_length_b 5.428
_cell_length_c 7.043
_cell_angle_alpha 90.00
_cell_angle_beta 90.00
_cell_angle_gamma 90.00
_symmetry_space_group_name_H-M 'P m c 21'
_symmetry_Int_Tables_number 26
loop_
_symmetry_equiv_pos_as_xyz
'x,y,z'
'-x,-y,z+1/2'
'-x,y,z'
'x,-y,z+1/2'
loop_
_atom_site_label
_atom_site_fract_x
_atom_site_fract_y
_atom_site_fract_z
Dy1 0.000 0.117 0.000
Y1 0.500 0.382 0.640
Ni1 0.000 0.374 0.356
Ni2 0.500 0.123 0.282
# Spin magnetization: 0.00 μB/atom
# ρ: 7.7 Mg/m³
# Formation energy: -451 meV per atom
# V: 79.61 Å³/f.u.
# Calculated total energy: -24.01 eV/f.u.

***

14.
# Dy6ZnNi2 (PBE, relaxed)
data_Dy6ZnNi2
_cell_length_a 9.229
_cell_length_b 9.543
_cell_length_c 9.939
_cell_angle_alpha 90.00
_cell_angle_beta 90.00
_cell_angle_gamma 90.00
_symmetry_space_group_name_H-M 'I m m m'
_symmetry_Int_Tables_number 71
_symmetry_space_group_name_Hall '-I 2 2'
loop_
_atom_site_label
_atom_site_fract_x
_atom_site_fract_y
_atom_site_fract_z
Dy1 0.000 0.192 0.238
Dy2 0.192 0.500 0.174
Dy3 0.217 0.320 0.500
Zn1 0.000 0.000 0.000
Zn2 0.000 0.000 0.500
Ni1 0.000 0.346 0.000
Ni2 0.000 0.500 0.379
# Spin magnetization: 0.00 μB/atom
# ρ: 8.8 Mg/m³
# Formation energy: -294 meV per atom
# V: 218.86 Å³/f.u.
# Calculated total energy: -42.66 eV/f.u.

***

15.
# Dy2Zn3Ni2 (PBE, relaxed)
data_Dy2Zn3Ni2
_cell_length_a 3.836
_cell_length_b 18.930
_cell_length_c 3.552
_cell_angle_alpha 90.00
_cell_angle_beta 90.00
_cell_angle_gamma 90.00
_symmetry_space_group_name_H-M 'C m m m'
_symmetry_Int_Tables_number 65
_symmetry_space_group_name_Hall '-C 2 2'
loop_
_atom_site_label
_atom_site_fract_x
_atom_site_fract_y
_atom_site_fract_z
Dy1 0.000 0.165 0.000
Zn1 0.000 0.000 0.000
Zn2 0.000 0.429 0.500
Ni1 0.000 0.291 0.500
# Spin magnetization: 0.00 μB/atom
# ρ: 8.2 Mg/m³
# Formation energy: -318 meV per atom
# V: 128.94 Å³/f.u.
# Calculated total energy: -26.36 eV/f.u.

***

16.
# Dy2Zn5Ni5 (PBE, relaxed)
data_Dy2Zn5Ni5
_cell_length_a 4.060
_cell_length_b 5.091
_cell_length_c 8.735
_cell_angle_alpha 90.00
_cell_angle_beta 90.00
_cell_angle_gamma 90.00
_symmetry_space_group_name_H-M 'P m m m'
_symmetry_Int_Tables_number 47
loop_
_symmetry_equiv_pos_as_xyz
'x,y,z'
'-x,-y,-z'
'-x,-y,z'
'x,y,-z'
'x,-y,-z'
'-x,y,z'
'-x,y,-z'
'x,-y,z'
loop_
_atom_site_label
_atom_site_fract_x
_atom_site_fract_y
_atom_site_fract_z
Dy1 0.000 0.000 0.000
Dy2 0.000 0.500 0.500
Zn1 0.500 0.000 0.500
Zn2 0.500 0.252 0.244
Ni1 0.000 0.000 0.333
Ni2 0.000 0.500 0.161
Ni3 0.500 0.500 0.000
# Spin magnetization: 0.00 μB/atom
# ρ: 8.7 Mg/m³
# Formation energy: -403 meV per atom
# V: 180.53 Å³/f.u.
# Calculated total energy: -48.20 eV/f.u.

***

17.
# DyZnNi4 (PBE, relaxed)
data_DyZnNi4
_cell_length_a 4.8844
_cell_length_b 4.8844
_cell_length_c 11.9119
_cell_angle_alpha 90.00
_cell_angle_beta 90.00
_cell_angle_gamma 120.00
_symmetry_space_group_name_H-M 'R 3 m'
_symmetry_Int_Tables_number 160
_symmetry_space_group_name_Hall 'R 3 -2"'
loop_
_atom_site_label
_atom_site_fract_x
_atom_site_fract_y
_atom_site_fract_z
Dy1 0.0000 0.0000 0.0000
Zn1 0.0000 0.0000 0.7485
Ni1 0.0000 0.0000 0.3770
Ni2 0.1683 0.3366 0.2087
# Spin magnetization: 0.00 μB/atom
# ρ: 9.4 Mg/m³
# Formation energy: -397 meV per atom
# V: 82.04 Å³/f.u.
# Calculated total energy: -30.52 eV/f.u.

***

18.
# DyNp (PBE, relaxed)
data_DyNp
_cell_length_a 5.4044
_cell_length_b 5.4044
_cell_length_c 6.1132
_cell_angle_alpha 90.00
_cell_angle_beta 90.00
_cell_angle_gamma 120.00
_symmetry_space_group_name_H-M 'P 63 m c'
_symmetry_Int_Tables_number 186
_symmetry_space_group_name_Hall 'P 6c -2c'
loop_
_atom_site_label
_atom_site_fract_x
_atom_site_fract_y
_atom_site_fract_z
Dy1 0.3333 0.6667 0.0000
Np1 0.3333 0.6667 0.4965
# Spin magnetization: 2.78 μB/atom
# ΔE to the lowest computed polymorph: 1.407 eV per atom
# ρ: 8.6 Mg/m³
# Formation energy: 1875 meV per atom
# V: 77.31 Å³/f.u.
# Calculated total energy: -13.62 eV/f.u.

***

19.
# DyNp (PBE, relaxed)
data_DyNp
_cell_length_a 3.2875
_cell_length_b 3.2875
_cell_length_c 5.7672
_cell_angle_alpha 90.00
_cell_angle_beta 90.00
_cell_angle_gamma 120.00
_symmetry_space_group_name_H-M 'P -6 m 2'
_symmetry_Int_Tables_number 187
_symmetry_space_group_name_Hall 'P -6 2'
loop_
_atom_site_label
_atom_site_fract_x
_atom_site_fract_y
_atom_site_fract_z
Dy1 0.0000 0.0000 0.0000
Np1 0.6667 0.3333 0.5000
# Spin magnetization: 2.14 μB/atom
# ΔE to the lowest computed polymorph: 0.000 eV per atom
# ρ: 12.3 Mg/m³
# Formation energy: 468 meV per atom
# V: 53.98 Å³/f.u.
# Calculated total energy: -16.44 eV/f.u.

***

20.
# DyNp (PBE, relaxed)
data_DyNp
_cell_length_a 6.242
_cell_length_b 6.242
_cell_length_c 6.242
_cell_angle_alpha 90.00
_cell_angle_beta 90.00
_cell_angle_gamma 90.00
_symmetry_space_group_name_H-M 'F m -3 m'
_symmetry_Int_Tables_number 225
_symmetry_space_group_name_Hall '-F 4 2 3'
loop_
_atom_site_label
_atom_site_fract_x
_atom_site_fract_y
_atom_site_fract_z
Dy1 0.000 0.000 0.000
Np1 0.000 0.000 0.500
# Spin magnetization: 2.87 μB/atom
# ΔE to the lowest computed polymorph: 0.801 eV per atom
# ρ: 10.9 Mg/m³
# Formation energy: 1269 meV per atom
# V: 60.79 Å³/f.u.
# Calculated total energy: -14.83 eV/f.u.